{
  "formula": "Ag2SbIr",
  "functional": "PBE",
  "state": "optimized geometry",
  "cell": [[9.473, -0.034, -0.020], [8.983, 3.007, -0.020], [8.983, 1.447, 2.636]],
  "species": ["Sb", "Ir", "Ag", "Ag"],
  "fractional_positions": [[0.760, 0.760, 0.760], [0.499, 0.499, 0.499], [0.995, 0.995, 0.995], [0.247, 0.247, 0.247]],
  "mass_density_g_cm3": 11.503,
  "crystal_system": "trigonal",
  "energy_ev_per_cell": -17.69
}